Entry from Alexandria via LeMat-Bulk: crystalline AgHg3 at its relaxed geometry (GGA-PBEsol).

* calculated volume: 21.78 Å³ per atom
* total DFT energy (no corrections): -1.21 eV per atom
* ΔE_f: 0.04 eV per atom
* spin magnetization: 0.00 μB/cell
* SG: Pnma, No. 62

Unit cell a=5.2364 b=7.6865 c=8.6565 alpha=90.00 beta=90.00 gamma=90.00
Fractional coordinates of all 16 atoms:
Ag: 0.5958 0.1284 0.7500
Ag: 0.0958 0.3716 0.2500
Ag: 0.9042 0.6284 0.7500
Ag: 0.4042 0.8716 0.2500
Hg: 0.0395 0.6876 0.4365
Hg: 0.4063 0.4772 0.7500
Hg: 0.9605 0.3124 0.5635
Hg: 0.4605 0.1876 0.0635
Hg: 0.9063 0.0228 0.2500
Hg: 0.5937 0.5228 0.2500
Hg: 0.0395 0.6876 0.0635
Hg: 0.4605 0.1876 0.4365
Hg: 0.5395 0.8124 0.9365
Hg: 0.0937 0.9772 0.7500
Hg: 0.9605 0.3124 0.9365
Hg: 0.5395 0.8124 0.5635

---

Entry from Alexandria via LeMat-Bulk: crystalline Ca2YAg at its relaxed geometry (GGA-PBEsol).

* calculated volume: 30.66 Å³ per atom
* total DFT energy (no corrections): -3.72 eV per atom
* ΔE_f: -0.12 eV per atom
* spin magnetization: 0.00 μB/cell
* SG: P4mm, No. 99

Unit cell a=3.6387 b=3.6387 c=9.2622 alpha=90.00 beta=90.00 gamma=90.00
Fractional coordinates of all 4 atoms:
Ca: 0.0000 0.0000 0.9387
Ca: 0.5000 0.5000 0.2642
Ag: 0.5000 0.5000 0.7347
Y: 0.0000 0.0000 0.5624

---

Entry from Alexandria via LeMat-Bulk: crystalline CaCuGe2O6 at its relaxed geometry (GGA-PBEsol).

* calculated volume: 11.80 Å³ per atom
* total DFT energy (no corrections): -6.54 eV per atom
* spin magnetization: 2.00 μB/cell
* SG: C2/c, No. 15

Unit cell a=5.3758 b=6.7964 c=6.7964 alpha=82.43 beta=77.61 gamma=77.61
Each line ends with the local moment (μB).
Fractional coordinates of all 20 atoms:
Ge: 0.7150 0.6187 0.8172  0.01
Ge: 0.2150 0.8172 0.6187  0.01
Ge: 0.7850 0.1828 0.3813  0.01
Ge: 0.2850 0.3813 0.1828  0.01
O: 0.3788 0.1959 0.0124  0.10
O: 0.1212 0.9876 0.8041  0.10
O: 0.5218 0.3898 0.3302  0.00
O: 0.6212 0.8041 0.9876  0.10
O: 0.0218 0.3302 0.3898  0.00
O: 0.4782 0.6102 0.6698  0.00
O: 0.9782 0.6698 0.6102  0.00
O: 0.1603 0.6240 0.0923  0.05
O: 0.3397 0.9077 0.3760  0.05
O: 0.6603 0.0923 0.6240  0.05
O: 0.8788 0.0124 0.1959  0.10
O: 0.8397 0.3760 0.9077  0.05
Ca: 0.7500 0.6971 0.3029  0.00
Ca: 0.2500 0.3029 0.6971  0.00
Cu: 0.7500 0.0953 0.9047  0.64
Cu: 0.2500 0.9047 0.0953  0.64

---

Entry from Alexandria via LeMat-Bulk: crystalline H2S at its relaxed geometry (GGA-PBEsol).

* calculated volume: 14.52 Å³ per atom
* total DFT energy (no corrections): -3.76 eV per atom
* spin magnetization: 0.00 μB/cell
* SG: I4_1/acd, No. 142

Unit cell a=7.8659 b=7.8659 c=7.8659 alpha=91.53 beta=119.12 gamma=119.12
Fractional coordinates of all 24 atoms:
H: 0.2802 0.5596 0.7897
H: 0.7802 0.0397 0.3096
H: 0.2301 0.7206 0.4404
H: 0.7301 0.5397 0.7595
H: 0.7198 0.7103 0.9404
H: 0.2198 0.1904 0.4603
H: 0.2699 0.7405 0.9603
H: 0.2198 0.5294 0.2595
H: 0.7699 0.2103 0.4905
H: 0.7699 0.0596 0.7794
H: 0.7802 0.2405 0.9706
H: 0.7198 0.5095 0.2794
H: 0.2802 0.2206 0.9905
H: 0.7301 0.6904 0.4706
H: 0.2301 0.0095 0.2897
H: 0.2699 0.0294 0.8096
S: 0.8410 0.7160 0.3750
S: 0.3410 0.6250 0.4660
S: 0.1590 0.5340 0.8750
S: 0.6590 0.1250 0.2840
S: 0.3410 0.2160 0.3750
S: 0.1590 0.1250 0.7840
S: 0.6590 0.0340 0.8750
S: 0.8410 0.6250 0.9660

---

Entry from Alexandria via LeMat-Bulk: crystalline Ba2TcAg at its relaxed geometry (GGA-PBEsol).

* calculated volume: 29.44 Å³ per atom
* total DFT energy (no corrections): -3.97 eV per atom
* ΔE_f: 0.75 eV per atom
* spin magnetization: 2.10 μB/cell
* SG: Fm-3m, No. 225

Unit cell a=5.5021 b=5.5021 c=5.5021 alpha=60.00 beta=60.00 gamma=60.00
Each line ends with the local moment (μB).
Fractional coordinates of all 4 atoms:
Ba: 0.2500 0.2500 0.2500  -0.03
Ba: 0.7500 0.7500 0.7500  -0.03
Ag: 0.5000 0.5000 0.5000  -0.01
Tc: 0.0000 0.0000 0.0000  2.09

---

Entry from Alexandria via LeMat-Bulk: crystalline RbSb2Mo at its relaxed geometry (GGA-PBEsol).

* calculated volume: 42.07 Å³ per atom
* total DFT energy (no corrections): -5.18 eV per atom
* spin magnetization: 0.00 μB/cell
* SG: I4_1/amd, No. 141

Unit cell a=6.6507 b=6.6507 c=8.9452 alpha=111.82 beta=111.82 gamma=90.00
Fractional coordinates of all 8 atoms:
Sb: 0.1250 0.8750 0.7500
Sb: 0.6250 0.8750 0.7500
Sb: 0.1250 0.8750 0.2500
Sb: 0.1250 0.3750 0.2500
Mo: 0.2500 0.7500 0.5000
Mo: 0.0000 0.0000 0.0000
Rb: 0.7500 0.2500 0.5000
Rb: 0.5000 0.5000 0.0000

---

Entry from Alexandria via LeMat-Bulk: crystalline SrCrMo2 at its relaxed geometry (GGA-PBEsol).

* calculated volume: 16.59 Å³ per atom
* total DFT energy (no corrections): -7.66 eV per atom
* ΔE_f: 1.25 eV per atom
* spin magnetization: 0.36 μB/cell
* SG: Fm-3m, No. 225

Unit cell a=4.5448 b=4.5448 c=4.5448 alpha=60.00 beta=60.00 gamma=60.00
Each line ends with the local moment (μB).
Fractional coordinates of all 4 atoms:
Cr: 0.0000 0.0000 0.0000  0.82
Mo: 0.2500 0.2500 0.2500  -0.24
Mo: 0.7500 0.7500 0.7500  -0.24
Sr: 0.5000 0.5000 0.5000  -0.02

---

Entry from Alexandria via LeMat-Bulk: crystalline BiAsN2O at its relaxed geometry (GGA-PBEsol).

* calculated volume: 11.29 Å³ per atom
* total DFT energy (no corrections): -6.10 eV per atom
* spin magnetization: 0.00 μB/cell
* SG: P4/mmm, No. 123

Unit cell a=3.7671 b=3.8709 c=3.8709 alpha=90.00 beta=90.00 gamma=90.00
Fractional coordinates of all 5 atoms:
N: 0.0000 0.0000 0.5000
N: 0.0000 0.5000 0.0000
O: 0.5000 0.0000 0.0000
Bi: 0.5000 0.5000 0.5000
As: 0.0000 0.0000 0.0000

---

Entry from Alexandria via LeMat-Bulk: crystalline CuSe3Br at its relaxed geometry (GGA-PBEsol).

* calculated volume: 24.29 Å³ per atom
* total DFT energy (no corrections): -3.67 eV per atom
* spin magnetization: 0.00 μB/cell
* SG: Pmna, No. 53

Unit cell a=4.5222 b=7.5468 c=14.2369 alpha=90.00 beta=90.00 gamma=90.00
Fractional coordinates of all 20 atoms:
Cu: 0.7956 0.7500 0.7500
Cu: 0.2044 0.2500 0.2500
Cu: 0.2044 0.2500 0.7500
Cu: 0.7956 0.7500 0.2500
Se: 0.9004 0.1501 0.6270
Se: 0.9004 0.3499 0.8730
Se: 0.1684 0.2737 0.5000
Se: 0.0996 0.8499 0.6270
Se: 0.0996 0.6501 0.8730
Se: 0.9004 0.3499 0.1270
Se: 0.8316 0.7263 0.5000
Se: 0.1684 0.2263 0.0000
Se: 0.8316 0.7737 0.0000
Se: 0.0996 0.8499 0.3730
Se: 0.9004 0.1501 0.3730
Se: 0.0996 0.6501 0.1270
Br: 0.5000 0.5000 0.6857
Br: 0.5000 0.0000 0.1857
Br: 0.5000 0.0000 0.8143
Br: 0.5000 0.5000 0.3143

---

Entry from Alexandria via LeMat-Bulk: crystalline InReTe at its relaxed geometry (GGA-PBEsol).

* calculated volume: 23.44 Å³ per atom
* total DFT energy (no corrections): -5.06 eV per atom
* spin magnetization: 0.00 μB/cell
* SG: F-43m, No. 216

Unit cell a=4.6332 b=4.6332 c=4.6332 alpha=60.00 beta=60.00 gamma=60.00
Fractional coordinates of all 3 atoms:
Te: 0.5000 0.5000 0.5000
Re: 0.0000 0.0000 0.0000
In: 0.2500 0.2500 0.2500

---

Entry from Alexandria via LeMat-Bulk: crystalline BaAg2PdW at its relaxed geometry (GGA-PBEsol).

* calculated volume: 30.56 Å³ per atom
* total DFT energy (no corrections): -3.36 eV per atom
* ΔE_f: 2.35 eV per atom
* spin magnetization: 4.03 μB/cell
* SG: P4/mmm, No. 123

Unit cell a=5.1097 b=5.4687 c=5.4687 alpha=90.00 beta=90.00 gamma=90.00
Each line ends with the local moment (μB).
Fractional coordinates of all 5 atoms:
Ba: 0.0000 0.0000 0.0000  -0.07
Ag: 0.0000 0.0000 0.5000  -0.06
Ag: 0.0000 0.5000 0.0000  -0.06
W: 0.5000 0.5000 0.5000  3.12
Pd: 0.5000 0.0000 0.0000  -0.01

---

Entry from Alexandria via LeMat-Bulk: crystalline Tl2CdTc at its relaxed geometry (GGA-PBEsol).

* calculated volume: 20.16 Å³ per atom
* total DFT energy (no corrections): -3.87 eV per atom
* ΔE_f: 0.56 eV per atom
* spin magnetization: 0.00 μB/cell
* SG: P4mm, No. 99

Unit cell a=3.6918 b=3.6865 c=5.9255 alpha=90.00 beta=90.00 gamma=90.00
Fractional coordinates of all 4 atoms:
Tl: 0.0000 0.0000 0.9729
Tl: 0.5001 0.5000 0.2623
Tc: 0.5000 0.5000 0.7530
Cd: 0.9999 0.0000 0.5117